This record from Alexandria describes a geometry-optimized KAg2Sn3 structure. The functional is PBE.

Cell lengths 4.721, 9.563, 11.851 Å; angles 107.34, 90.00, 104.29 degrees
Fractional positions:
K  0.161  0.321  0.705
K  0.839  0.679  0.295
K  0.000  0.000  0.000
Ag  0.197  0.393  0.123
Ag  0.803  0.607  0.877
Ag  0.466  0.931  0.209
Ag  0.534  0.069  0.791
Ag  0.354  0.708  0.532
Ag  0.646  0.292  0.468
Sn  0.038  0.075  0.350
Sn  0.962  0.925  0.650
Sn  0.206  0.413  0.371
Sn  0.794  0.587  0.629
Sn  0.624  0.247  0.200
Sn  0.376  0.753  0.800
Sn  0.500  0.000  0.500
Sn  0.322  0.643  0.030
Sn  0.678  0.357  0.970

The energy of formation from the pure elements is -0.089 eV/atom. As for the total magnetization: 0.0 μB/f.u.



This record from Alexandria describes a geometry-optimized CdSbRh2 structure. The functional is PBE.

Cell lengths 9.191, 9.191, 9.191 Å; angles 19.49, 19.49, 19.49 degrees
Each line ends with the local moment (μB).
Fractional positions:
Cd  0.259  0.259  0.259  -0.01
Sb  0.488  0.488  0.488  0.00
Rh  0.004  0.004  0.004  0.36
Rh  0.749  0.749  0.749  0.19

The formation energy (no corrections) is 0.65 eV/f.u. As for the total magnetization: 0.5 μB/f.u.



This record from Alexandria describes a geometry-optimized La2TlCl structure. The functional is PBE.

Cell lengths 3.833, 3.833, 9.661 Å; angles 78.56, 78.56, 60.00 degrees
Fractional positions:
La  0.089  0.089  0.732
La  0.244  0.244  0.267
Tl  0.666  0.666  0.001
Cl  0.500  0.500  0.499

The formation energy (no corrections) is -3.65 eV/f.u. As for the total magnetization: 0.0 μB/f.u.



- Which formula does entry 3 have?
  La2TlCl